First-principles (PBE) data for a relaxed Ca3PmEr3Se8 crystal, as listed in the Alexandria database.

VASP energy, eV/atom: -5.3844
Theoretical density, g/cm3: 5.9
Formation energy from raw total energies, eV per atom: -1.8964
Calculated volume, Å³/atom: 26.35
N(E_F), states/eV per cell: 4.71

Cell lengths 8.2927, 8.2927, 8.2927 Å; angles 59.12, 59.12, 59.12 degrees
Closest atoms and distances in Å follow each position.
Sites, in units of the cell vectors:
Ca  0.0000  0.5000  0.5000  6 Se 2.95-2.96
Ca  0.5000  0.0000  0.5000  6 Se 2.95-2.96
Ca  0.5000  0.5000  0.0000  6 Se 2.95-2.96
Pm  0.5000  0.5000  0.5000  6 Se 2.95
Er  0.0000  0.0000  0.5000  6 Se 2.86-2.88
Er  0.0000  0.5000  0.0000  6 Se 2.86-2.88
Er  0.5000  0.0000  0.0000  6 Se 2.86-2.88
Se  0.2383  0.7534  0.7534  2 Er 2.86, 1 Pm 2.95, 2 Ca 2.96
Se  0.2473  0.2473  0.2473  3 Er 2.88, 3 Ca 2.95
Se  0.2466  0.2466  0.7617  2 Er 2.86, 1 Pm 2.95, 2 Ca 2.96
Se  0.2466  0.7617  0.2466  2 Er 2.86, 1 Pm 2.95, 2 Ca 2.96
Se  0.7534  0.2383  0.7534  2 Er 2.86, 1 Pm 2.95, 2 Ca 2.96
Se  0.7534  0.7534  0.2383  2 Er 2.86, 1 Pm 2.95, 2 Ca 2.96
Se  0.7527  0.7527  0.7527  3 Er 2.88, 3 Ca 2.95
Se  0.7617  0.2466  0.2466  2 Er 2.86, 1 Pm 2.95, 2 Ca 2.96

=====

First-principles (PBE) data for a relaxed CaPmErSn crystal, as listed in the Alexandria database.

VASP energy, eV/atom: -4.0626
Theoretical density, g/cm3: 6.7
Calculated volume, Å³/atom: 29.05
E_form, eV per formula unit: -0.93
N(E_F), states/eV per cell: 5.17

Cell lengths 5.4773, 5.4773, 5.4773 Å; angles 60.00, 60.00, 60.00 degrees
Closest atoms and distances in Å follow each position.
Sites, in units of the cell vectors:
Ca  0.0000  0.0000  0.0000  4 Pm 3.35, 4 Er 3.35
Pm  0.7500  0.7500  0.7500  4 Sn 3.35, 4 Ca 3.35
Er  0.2500  0.2500  0.2500  4 Sn 3.35, 4 Ca 3.35
Sn  0.5000  0.5000  0.5000  4 Er 3.35, 4 Pm 3.35

=====

First-principles (PBE) data for a relaxed SrCaPmEr crystal, as listed in the Alexandria database.

VASP energy, eV/atom: -3.0597
Theoretical density, g/cm3: 4.8
Calculated volume, Å³/atom: 38.08
E_form, eV per formula unit: 0.76
N(E_F), states/eV per cell: 5.52

Cell lengths 5.9946, 5.9946, 5.9946 Å; angles 60.00, 60.00, 60.00 degrees
Closest atoms and distances in Å follow each position.
Sites, in units of the cell vectors:
Sr  0.0000  0.0000  0.0000  4 Er 3.67, 4 Ca 3.67
Ca  0.2500  0.2500  0.2500  4 Pm 3.67, 4 Sr 3.67
Pm  0.5000  0.5000  0.5000  4 Er 3.67, 4 Ca 3.67
Er  0.7500  0.7500  0.7500  4 Pm 3.67, 4 Sr 3.67

=====

First-principles (PBE) data for a relaxed CaTbPmEr crystal, as listed in the Alexandria database.

VASP energy, eV/atom: -3.8447
Theoretical density, g/cm3: 6.2
Calculated volume, Å³/atom: 33.96
E_form, eV per formula unit: 0.57
N(E_F), states/eV per cell: 6.81

Cell lengths 5.7700, 5.7700, 5.7700 Å; angles 60.00, 60.00, 60.00 degrees
Closest atoms and distances in Å follow each position.
Sites, in units of the cell vectors:
Ca  0.0000  0.0000  0.0000  4 Tb 3.53, 4 Pm 3.53
Tb  0.7500  0.7500  0.7500  4 Er 3.53, 4 Ca 3.53
Pm  0.2500  0.2500  0.2500  4 Ca 3.53, 4 Er 3.53
Er  0.5000  0.5000  0.5000  4 Tb 3.53, 4 Pm 3.53

=====

First-principles (PBE) data for a relaxed CaTb3Pm6Er2 crystal, as listed in the Alexandria database.

VASP energy, eV/atom: -4.4238
Theoretical density, g/cm3: 7.1
Calculated volume, Å³/atom: 33.36
E_form, eV per formula unit: 0.44
N(E_F), states/eV per cell: 14.01

Cell lengths 6.2831, 6.2831, 11.8898 Å; angles 95.02, 95.02, 119.98 degrees
Closest atoms and distances in Å follow each position.
Sites, in units of the cell vectors:
Ca  0.0000  0.0000  0.0000  6 Er 3.63, 6 Pm 3.64
Tb  0.1664  0.8336  0.5000  6 Pm 3.56-3.60, 6 Tb 3.62-3.63
Tb  0.5000  0.5000  0.5000  6 Pm 3.55-3.60, 6 Tb 3.63
Tb  0.8336  0.1664  0.5000  6 Pm 3.56-3.60, 6 Tb 3.62-3.63
Pm  0.0843  0.4249  0.2516  3 Tb 3.56-3.60, 6 Pm 3.59-3.71, 2 Er 3.60, 1 Ca 3.64
Pm  0.2563  0.2563  0.7478  3 Tb 3.55-3.59, 6 Pm 3.59-3.71, 2 Er 3.61, 1 Ca 3.64
Pm  0.4249  0.0843  0.2516  3 Tb 3.56-3.60, 6 Pm 3.59-3.71, 2 Er 3.60, 1 Ca 3.64
Pm  0.5751  0.9157  0.7484  3 Tb 3.56-3.60, 6 Pm 3.59-3.71, 2 Er 3.60, 1 Ca 3.64
Pm  0.7437  0.7437  0.2522  3 Tb 3.55-3.59, 6 Pm 3.59-3.71, 2 Er 3.61, 1 Ca 3.64
Pm  0.9157  0.5751  0.7484  3 Tb 3.56-3.60, 6 Pm 3.59-3.71, 2 Er 3.60, 1 Ca 3.64
Er  0.3333  0.6667  0.0000  6 Pm 3.60-3.61, 3 Ca 3.63, 3 Er 3.63
Er  0.6667  0.3333  0.0000  6 Pm 3.60-3.61, 3 Ca 3.63, 3 Er 3.63

=====

First-principles (PBE) data for a relaxed CaTb2Pm6Er3 crystal, as listed in the Alexandria database.

VASP energy, eV/atom: -4.4203
Theoretical density, g/cm3: 7.2
Calculated volume, Å³/atom: 33.18
E_form, eV per formula unit: 0.41
N(E_F), states/eV per cell: 13.23

Cell lengths 6.2703, 6.2703, 11.8737 Å; angles 95.02, 95.02, 119.98 degrees
Closest atoms and distances in Å follow each position.
Sites, in units of the cell vectors:
Ca  0.0000  0.0000  0.0000  6 Tb 3.62, 6 Pm 3.66
Tb  0.3333  0.6667  0.0000  3 Ca 3.62, 6 Pm 3.62-3.63, 3 Tb 3.62
Tb  0.6667  0.3333  0.0000  3 Ca 3.62, 6 Pm 3.62-3.63, 3 Tb 3.62
Pm  0.0854  0.4252  0.2544  3 Er 3.53-3.56, 6 Pm 3.59-3.69, 2 Tb 3.62-3.63, 1 Ca 3.66
Pm  0.2541  0.2541  0.7448  3 Er 3.52-3.55, 6 Pm 3.59-3.69, 2 Tb 3.63, 1 Ca 3.66
Pm  0.4252  0.0854  0.2544  3 Er 3.53-3.56, 6 Pm 3.59-3.69, 2 Tb 3.62-3.63, 1 Ca 3.66
Pm  0.5748  0.9146  0.7456  3 Er 3.53-3.56, 6 Pm 3.59-3.69, 2 Tb 3.62-3.63, 1 Ca 3.66
Pm  0.7459  0.7459  0.2552  3 Er 3.52-3.55, 6 Pm 3.59-3.69, 2 Tb 3.63, 1 Ca 3.66
Pm  0.9146  0.5748  0.7456  3 Er 3.53-3.56, 6 Pm 3.59-3.69, 2 Tb 3.62-3.63, 1 Ca 3.66
Er  0.1663  0.8337  0.5000  6 Pm 3.53-3.56, 6 Er 3.61-3.62
Er  0.5000  0.5000  0.5000  6 Pm 3.52-3.56, 6 Er 3.62
Er  0.8337  0.1663  0.5000  6 Pm 3.53-3.56, 6 Er 3.61-3.62

=====

First-principles (PBE) data for a relaxed CaPmEr2Te4 crystal, as listed in the Alexandria database.

VASP energy, eV/atom: -4.9190
Theoretical density, g/cm3: 7.1
Formation energy from raw total energies, eV per atom: -1.3635
Calculated volume, Å³/atom: 30.06
N(E_F), states/eV per cell: 3.69

Cell lengths 7.6114, 4.3667, 7.6526 Å; angles 90.00, 109.01, 90.00 degrees
Closest atoms and distances in Å follow each position.
Sites, in units of the cell vectors:
Ca  0.0000  0.0000  0.0000  6 Te 3.13-3.14
Pm  0.0000  0.5000  0.5000  6 Te 3.16
Er  0.5000  0.0000  0.5000  6 Te 3.08
Er  0.5000  0.5000  0.0000  6 Te 3.06
Te  0.2590  0.5000  0.2507  3 Er 3.06-3.08, 2 Ca 3.14, 1 Pm 3.16
Te  0.2602  0.0000  0.7561  3 Er 3.06-3.08, 1 Ca 3.13, 2 Pm 3.16
Te  0.7398  0.0000  0.2439  3 Er 3.06-3.08, 1 Ca 3.13, 2 Pm 3.16
Te  0.7410  0.5000  0.7493  3 Er 3.06-3.08, 2 Ca 3.14, 1 Pm 3.16

=====

First-principles (PBE) data for a relaxed Ca3Pm2ErTe6 crystal, as listed in the Alexandria database.

VASP energy, eV/atom: -4.7222
Theoretical density, g/cm3: 5.9
Formation energy from raw total energies, eV per atom: -1.4790
Calculated volume, Å³/atom: 31.30
N(E_F), states/eV per cell: 5.10

Cell lengths 7.6605, 7.6605, 7.8162 Å; angles 99.43, 99.43, 119.92 degrees
Closest atoms and distances in Å follow each position.
Sites, in units of the cell vectors:
Ca  0.0000  0.0000  0.0000  6 Te 3.14-3.20
Ca  0.3300  0.6700  0.0000  6 Te 3.14-3.18
Ca  0.6700  0.3300  0.0000  6 Te 3.14-3.18
Pm  0.1654  0.8346  0.5000  6 Te 3.17-3.18
Pm  0.8346  0.1654  0.5000  6 Te 3.17-3.18
Er  0.5000  0.5000  0.5000  6 Te 3.10
Te  0.0920  0.4176  0.2514  1 Er 3.10, 3 Ca 3.14-3.18, 2 Pm 3.17-3.18
Te  0.2590  0.2590  0.7510  1 Er 3.10, 3 Ca 3.15-3.20, 2 Pm 3.17
Te  0.4176  0.0920  0.2514  1 Er 3.10, 3 Ca 3.14-3.18, 2 Pm 3.17-3.18
Te  0.5824  0.9080  0.7486  1 Er 3.10, 3 Ca 3.14-3.18, 2 Pm 3.17-3.18
Te  0.7410  0.7410  0.2490  1 Er 3.10, 3 Ca 3.15-3.20, 2 Pm 3.17
Te  0.9080  0.5824  0.7486  1 Er 3.10, 3 Ca 3.14-3.18, 2 Pm 3.17-3.18

=====

First-principles (PBE) data for a relaxed CaPm3Er2Te6 crystal, as listed in the Alexandria database.

VASP energy, eV/atom: -5.0641
Theoretical density, g/cm3: 7.1
Formation energy from raw total energies, eV per atom: -1.3784
Calculated volume, Å³/atom: 30.52
N(E_F), states/eV per cell: 5.85

Cell lengths 9.9203, 9.9203, 8.9234 Å; angles 104.11, 104.11, 25.52 degrees
Closest atoms and distances in Å follow each position.
Sites, in units of the cell vectors:
Ca  0.0000  0.0000  0.0000  6 Te 3.10-3.12
Pm  0.0000  0.0000  0.5000  6 Te 3.16
Pm  0.3361  0.3361  0.1762  6 Te 3.14-3.22
Pm  0.6639  0.6639  0.8238  6 Te 3.14-3.22
Er  0.3312  0.3312  0.6630  6 Te 3.05-3.11
Er  0.6688  0.6688  0.3370  6 Te 3.05-3.11
Te  0.1667  0.1667  0.0892  2 Er 3.11, 1 Ca 3.12, 3 Pm 3.17-3.22
Te  0.1684  0.1684  0.5738  3 Er 3.05, 3 Pm 3.14-3.16
Te  0.4949  0.4949  0.7523  1 Er 3.07, 2 Ca 3.10, 3 Pm 3.16-3.17
Te  0.5051  0.5051  0.2477  1 Er 3.07, 2 Ca 3.10, 3 Pm 3.16-3.17
Te  0.8316  0.8316  0.4262  3 Er 3.05, 3 Pm 3.14-3.16
Te  0.8333  0.8333  0.9108  2 Er 3.11, 1 Ca 3.12, 3 Pm 3.17-3.22

=====

First-principles (PBE) data for a relaxed Ca2PmErTe4 crystal, as listed in the Alexandria database.

VASP energy, eV/atom: -4.6978
Theoretical density, g/cm3: 6.0
Formation energy from raw total energies, eV per atom: -1.4623
Calculated volume, Å³/atom: 31.04
N(E_F), states/eV per cell: 3.62

Cell lengths 7.6446, 4.4088, 7.7951 Å; angles 90.00, 109.07, 90.00 degrees
Closest atoms and distances in Å follow each position.
Sites, in units of the cell vectors:
Ca  0.0000  0.0000  0.0000  6 Te 3.18-3.19
Ca  0.5000  0.5000  0.0000  6 Te 3.12-3.13
Pm  0.0000  0.5000  0.5000  6 Te 3.16
Er  0.5000  0.0000  0.5000  6 Te 3.10
Te  0.2564  0.0000  0.7497  1 Er 3.10, 3 Ca 3.12-3.19, 2 Pm 3.16
Te  0.2575  0.5000  0.2547  2 Er 3.10, 3 Ca 3.13-3.18, 1 Pm 3.16
Te  0.7425  0.5000  0.7453  2 Er 3.10, 3 Ca 3.13-3.18, 1 Pm 3.16
Te  0.7436  0.0000  0.2503  1 Er 3.10, 3 Ca 3.12-3.19, 2 Pm 3.16

=====

First-principles (PBE) data for a relaxed Ca3PmEr2Te6 crystal, as listed in the Alexandria database.

VASP energy, eV/atom: -4.6798
Theoretical density, g/cm3: 6.1
Formation energy from raw total energies, eV per atom: -1.4522
Calculated volume, Å³/atom: 30.78
N(E_F), states/eV per cell: 5.02

Cell lengths 9.9673, 9.9673, 8.9329 Å; angles 104.15, 104.15, 25.46 degrees
Closest atoms and distances in Å follow each position.
Sites, in units of the cell vectors:
Ca  0.0000  0.0000  0.0000  6 Te 3.10-3.21
Ca  0.3360  0.3360  0.6682  6 Te 3.12-3.20
Ca  0.6640  0.6640  0.3318  6 Te 3.12-3.20
Pm  0.0000  0.0000  0.5000  6 Te 3.16-3.18
Er  0.3371  0.3371  0.1746  6 Te 3.04-3.14
Er  0.6629  0.6629  0.8254  6 Te 3.04-3.14
Te  0.1692  0.1692  0.5884  2 Er 3.07, 3 Ca 3.14-3.16, 1 Pm 3.18
Te  0.1706  0.1706  0.0757  3 Er 3.11-3.14, 3 Ca 3.20-3.21
Te  0.4985  0.4985  0.2446  1 Er 3.04, 3 Ca 3.10-3.12, 2 Pm 3.16
Te  0.5015  0.5015  0.7554  1 Er 3.04, 3 Ca 3.10-3.12, 2 Pm 3.16
Te  0.8294  0.8294  0.9243  3 Er 3.11-3.14, 3 Ca 3.20-3.21
Te  0.8308  0.8308  0.4116  2 Er 3.07, 3 Ca 3.14-3.16, 1 Pm 3.18

=====

First-principles (PBE) data for a relaxed CaPmErTh crystal, as listed in the Alexandria database.

VASP energy, eV/atom: -4.4553
Theoretical density, g/cm3: 7.2
Calculated volume, Å³/atom: 33.86
E_form, eV per formula unit: 0.91
N(E_F), states/eV per cell: 8.50

Cell lengths 5.7646, 5.7646, 5.7646 Å; angles 60.00, 60.00, 60.00 degrees
Closest atoms and distances in Å follow each position.
Sites, in units of the cell vectors:
Ca  0.0000  0.0000  0.0000  4 Er 3.53, 4 Pm 3.53
Pm  0.7500  0.7500  0.7500  4 Ca 3.53, 4 Th 3.53
Er  0.2500  0.2500  0.2500  4 Th 3.53, 4 Ca 3.53
Th  0.5000  0.5000  0.5000  4 Pm 3.53, 4 Er 3.53